First-principles (GGA-PBE) data for crystalline CsKBa at its relaxed geometry, as listed in Alexandria.

## Properties
Space group: No. 107
E in Ry per atom: -0.087
V in Å³/atom: 79.452
Energy of formation from the pure elements in eV/atom: 0.112
Total magnetic moment in μB per atom: 0.000

a = 4.568 Å, b = 4.568 Å, c = 11.872 Å
α = 101.09°, β = 101.09°, γ = 90.00°
Fractional coordinates of all 3 atoms:
K 0.658 0.658 0.316
Cs 0.334 0.334 0.668
Ba 0.008 0.008 0.016

First-principles (GGA-PBE) data for crystalline AlCu3Au at its relaxed geometry, as listed in Alexandria.

## Properties
Space group: No. 221
E in Ry per atom: -0.234
V in Å³/atom: 17.366
Energy of formation from the pure elements in eV/atom: 0.683
Total magnetic moment in μB per atom: 0.000

a = 4.428 Å, b = 4.428 Å, c = 4.428 Å
α = 90.00°, β = 90.00°, γ = 90.00°
Fractional coordinates of all 5 atoms:
Cu 0.000 0.500 0.000
Cu 0.500 0.000 0.000
Cu 0.000 0.000 0.500
Al 0.000 0.000 0.000
Au 0.500 0.500 0.500

First-principles (GGA-PBE) data for crystalline KRb4Mn3Br12 at its relaxed geometry, as listed in Alexandria.

## Properties
Space group: No. 229
E in Ry per atom: -0.283
V in Å³/atom: 33.873
Formation energy (no corrections) in meV/atom: -1226
Total magnetic moment in μB per atom: 0.700

a = 9.583 Å, b = 9.583 Å, c = 9.583 Å
α = 109.47°, β = 109.47°, γ = 109.47°
Fractional coordinates of all 20 atoms:
Br 0.250 0.750 0.500
Br 0.724 0.724 0.000
Br 0.500 0.750 0.250
Br 0.276 0.000 0.276
Br 0.750 0.250 0.500
Br 0.000 0.276 0.276
Br 0.276 0.276 0.000
Br 0.750 0.500 0.250
Br 0.500 0.250 0.750
Br 0.250 0.500 0.750
Br 0.724 0.000 0.724
Br 0.000 0.724 0.724
Rb 0.500 0.000 0.000
Rb 0.500 0.500 0.500
Rb 0.000 0.500 0.000
Rb 0.000 0.000 0.500
Mn 0.500 0.500 0.000
Mn 0.500 0.000 0.500
Mn 0.000 0.500 0.500
K 0.000 0.000 0.000

First-principles (GGA-PBE) data for crystalline PmThAlPd at its relaxed geometry, as listed in Alexandria.

## Properties
Space group: No. 216
E in Ry per atom: -0.417
V in Å³/atom: 24.961
Energy of formation from the pure elements in eV/atom: -0.393
Total magnetic moment in μB per atom: 0.105

a = 5.207 Å, b = 5.207 Å, c = 5.207 Å
α = 60.00°, β = 60.00°, γ = 60.00°
Fractional coordinates of all 4 atoms:
Al 0.500 0.500 0.500
Th 0.250 0.250 0.250
Pm 0.750 0.750 0.750
Pd 0.000 0.000 0.000

First-principles (GGA-PBE) data for crystalline Si2RuPt at its relaxed geometry, as listed in Alexandria.

## Properties
Space group: No. 122
E in Ry per atom: -0.488
V in Å³/atom: 19.327
Formation energy (no corrections) in meV/atom: -105
Total magnetic moment in μB per atom: 0.000

a = 5.415 Å, b = 5.415 Å, c = 6.517 Å
α = 65.45°, β = 65.45°, γ = 90.00°
Fractional coordinates of all 8 atoms:
Pt 0.750 0.250 0.500
Pt 0.000 0.000 0.000
Ru 0.500 0.500 0.000
Ru 0.250 0.750 0.500
Si 0.618 0.125 0.250
Si 0.875 0.868 0.750
Si 0.375 0.382 0.750
Si 0.132 0.625 0.250

First-principles (GGA-PBE) data for crystalline CrSiAs2Se at its relaxed geometry, as listed in Alexandria.

## Properties
Space group: No. 123
E in Ry per atom: -0.365
V in Å³/atom: 21.480
Formation energy (no corrections) in meV/atom: 593
Total magnetic moment in μB per atom: 0.372

a = 4.613 Å, b = 4.613 Å, c = 5.048 Å
α = 90.00°, β = 90.00°, γ = 90.00°
Fractional coordinates of all 5 atoms:
Cr 0.000 0.000 0.000
Si 0.500 0.500 0.500
Se 0.000 0.000 0.500
As 0.000 0.500 0.000
As 0.500 0.000 0.000